Y2ErSn9: optimized geometry, GGA-PBE.

Values from the calculation:
ΔH_f (0 K)	-416	meV per atom

abc: 4.794 4.794 13.685
angles: 90.00 90.00 90.00
Fractional coordinates of all 12 atoms:
1 Sn 0.000 0.500 0.500
2 Sn 0.000 0.500 0.165
3 Sn 0.500 0.000 0.165
4 Sn 0.500 0.500 0.667
5 Y 0.000 0.000 0.333
6 Er 0.000 0.000 0.000
7 Sn 0.500 0.500 0.000
8 Sn 0.500 0.500 0.333
9 Sn 0.500 0.000 0.500
10 Sn 0.500 0.000 0.835
11 Sn 0.000 0.500 0.835
12 Y 0.000 0.000 0.667

---

YErSn2: optimized geometry, GGA-PBE.

Values from the calculation:
ΔH_f (0 K)	-550	meV per atom

abc: 5.344 5.344 5.344
angles: 60.00 60.00 60.00
Fractional coordinates of all 4 atoms:
1 Y 0.500 0.500 0.500
2 Sn 0.250 0.250 0.250
3 Sn 0.750 0.750 0.750
4 Er 0.000 0.000 0.000

---

YErSn6: optimized geometry, GGA-PBE.

Values from the calculation:
ΔH_f (0 K)	-409	meV per atom

abc: 4.788 4.788 9.127
angles: 90.00 90.00 90.00
Fractional coordinates of all 8 atoms:
1 Y 0.000 0.000 0.000
2 Sn 0.500 0.000 0.748
3 Sn 0.000 0.500 0.748
4 Sn 0.500 0.500 0.500
5 Sn 0.500 0.000 0.252
6 Sn 0.000 0.500 0.252
7 Sn 0.500 0.500 0.000
8 Er 0.000 0.000 0.500

---

YEr2Sn: optimized geometry, GGA-PBE.

Values from the calculation:
ΔH_f (0 K)	-404	meV per atom

abc: 4.802 4.779 4.779
angles: 90.00 90.00 90.00
Fractional coordinates of all 4 atoms:
1 Y 0.500 0.000 0.000
2 Er 0.000 0.000 0.500
3 Sn 0.500 0.500 0.500
4 Er 0.000 0.500 0.000

---

Y12Er7Sn: optimized geometry, GGA-PBE.

Values from the calculation:
ΔH_f (0 K)	-2	meV per atom

abc: 8.748 8.748 8.748
angles: 101.13 101.13 101.13
Fractional coordinates of all 20 atoms:
1 Y 0.660 0.920 0.661
2 Er 0.098 0.680 0.098
3 Y 0.340 0.080 0.339
4 Y 0.920 0.661 0.660
5 Er 0.098 0.098 0.680
6 Er 0.680 0.098 0.098
7 Er 0.500 0.500 0.500
8 Y 0.661 0.660 0.920
9 Sn 0.000 0.000 0.000
10 Y 0.761 0.500 0.240
11 Y 0.240 0.761 0.500
12 Y 0.239 0.500 0.760
13 Er 0.902 0.320 0.902
14 Y 0.339 0.340 0.080
15 Er 0.902 0.902 0.320
16 Y 0.500 0.240 0.761
17 Y 0.760 0.239 0.500
18 Y 0.500 0.760 0.239
19 Y 0.080 0.339 0.340
20 Er 0.320 0.902 0.902

---

Y3Er5Sn2: optimized geometry, GGA-PBE.

Values from the calculation:
ΔH_f (0 K)	-49	meV per atom

abc: 6.293 10.530 10.530
angles: 95.42 72.61 72.61
Fractional coordinates of all 20 atoms:
1 Er 0.250 0.500 0.500
2 Er 0.896 0.439 0.770
3 Y 0.250 0.000 0.000
4 Er 0.502 0.748 0.748
5 Y 0.381 0.331 0.906
6 Y 0.619 0.669 0.094
7 Er 0.604 0.230 0.561
8 Er 0.002 0.748 0.748
9 Y 0.119 0.094 0.669
10 Sn 0.860 0.287 0.993
11 Y 0.750 0.000 0.000
12 Sn 0.640 0.007 0.713
13 Er 0.498 0.252 0.252
14 Y 0.881 0.906 0.331
15 Er 0.396 0.770 0.439
16 Sn 0.360 0.993 0.287
17 Sn 0.140 0.713 0.007
18 Er 0.750 0.500 0.500
19 Er 0.104 0.561 0.230
20 Er 0.998 0.252 0.252